1.
Density functional theory data (PBE) for a relaxed structure of Mn3TePt.

## Properties
Polymorph energy (0 for the lowest one) in eV per atom: 0.0000
Space group: No. 221
VASP energy in eV for the cell shown: -34.2

Lattice parameters (Å, degrees): 4.9101 4.9101 4.9101 90.00 90.00 90.00
Atoms (fractional coordinates):
Mn1 0.0000 0.5000 0.0000
Mn2 0.0000 0.0000 0.5000
Mn3 0.5000 0.0000 0.0000
Te1 0.5000 0.5000 0.5000
Pt1 0.0000 0.0000 0.0000

2.
Density functional theory data (PBE) for a relaxed structure of MnTe8Pt3.

## Properties
Space group: No. 2
VASP energy in eV for the cell shown: -56.3

Lattice parameters (Å, degrees): 8.0131 7.9937 7.5872 119.99 90.79 120.12
Atoms (fractional coordinates):
Pt1 0.0000 0.5000 0.0000
Pt2 0.5000 0.5000 0.0000
Pt3 0.5000 0.0000 0.0000
Te1 0.7581 0.0171 0.7704
Te2 0.7471 0.9829 0.2298
Te3 0.2419 0.9829 0.2296
Te4 0.2572 0.5206 0.7731
Te5 0.7578 0.5217 0.7699
Te6 0.7428 0.4794 0.2269
Te7 0.2529 0.0171 0.7702
Te8 0.2422 0.4783 0.2301
Mn1 0.0000 0.0000 0.0000

3.
Density functional theory data (PBE) for a relaxed structure of MnTePt3.

## Properties
Polymorph energy (0 for the lowest one) in eV per atom: 0.0000
Space group: No. 221
VASP energy in eV for the cell shown: -26.4

Lattice parameters (Å, degrees): 4.9368 4.9368 4.9368 90.00 90.00 90.00
Atoms (fractional coordinates):
Pt1 0.0000 0.0000 0.5000
Pt2 0.0000 0.5000 0.0000
Pt3 0.5000 0.0000 0.0000
Mn1 0.5000 0.5000 0.5000
Te1 0.0000 0.0000 0.0000

4.
Density functional theory data (PBE) for a relaxed structure of MnTePt.

## Properties
Polymorph energy (0 for the lowest one) in eV per atom: 0.1575
Space group: No. 156
VASP energy in eV for the cell shown: -18.5

Lattice parameters (Å, degrees): 3.9134 3.9134 4.5213 90.00 90.00 120.00
Atoms (fractional coordinates):
Te1 0.6667 0.3333 0.6643
Mn1 0.0000 0.0000 0.0317
Pt1 0.3333 0.6667 0.3040

5.
Density functional theory data (PBE) for a relaxed structure of MnTePt.

## Properties
Polymorph energy (0 for the lowest one) in eV per atom: 0.2152
Space group: No. 107
VASP energy in eV for the cell shown: -18.3

Lattice parameters (Å, degrees): 4.8874 4.8877 3.6591 68.01 68.02 43.97
Atoms (fractional coordinates):
Mn1 0.9965 0.9965 0.0035
Pt1 0.3399 0.3399 0.6601
Te1 0.6637 0.6637 0.3363

6.
Density functional theory data (PBE) for a relaxed structure of MnTePt4.

## Properties
Space group: No. 216
VASP energy in eV for the cell shown: -36.1

Lattice parameters (Å, degrees): 5.3486 5.3486 5.3486 60.00 60.00 60.00
Atoms (fractional coordinates):
Pt1 0.6253 0.6253 0.1242
Pt2 0.6253 0.6253 0.6253
Pt3 0.6253 0.1242 0.6253
Pt4 0.1242 0.6253 0.6253
Te1 0.2500 0.2500 0.2500
Mn1 0.0000 0.0000 0.0000

7.
Density functional theory data (PBE) for a relaxed structure of Mn3Te8Pt.

## Properties
Space group: No. 2
VASP energy in eV for the cell shown: -61.5

Lattice parameters (Å, degrees): 7.7483 7.7478 7.7517 119.81 89.84 119.95
Atoms (fractional coordinates):
Mn1 0.0000 0.5000 0.0000
Mn2 0.5000 0.0000 0.0000
Mn3 0.5000 0.5000 0.0000
Te1 0.2452 0.4926 0.2370
Te2 0.7545 0.0121 0.7630
Te3 0.7413 0.9886 0.2371
Te4 0.2587 0.0114 0.7629
Te5 0.2550 0.5087 0.7611
Te6 0.7450 0.4913 0.2389
Te7 0.2455 0.9879 0.2370
Te8 0.7548 0.5074 0.7630
Pt1 0.0000 0.0000 0.0000

8.
Density functional theory data (PBE) for a relaxed structure of MnTePt.

## Properties
Polymorph energy (0 for the lowest one) in eV per atom: 0.0000
Space group: No. 216
VASP energy in eV for the cell shown: -19.0

Lattice parameters (Å, degrees): 4.4874 4.4874 4.4874 60.00 60.00 60.00
Atoms (fractional coordinates):
Pt1 0.7500 0.7500 0.7500
Te1 0.0000 0.0000 0.0000
Mn1 0.5000 0.5000 0.5000

Computed energy relative to the elements, uncorrected, in the same sequence as the records: 502, -319, 805, -46, 12, 66, -231, -203 meV/atom.